No. 1
VASP calculation (SCAN) on ZnTc3 at its PBEsol-relaxed geometry.

Results
- DOS at the Fermi energy: 2.907 states/eV/f.u.
- Calculated total energy: -29.6449 eV per atom
- ΔE_f: 28.9 meV/atom
- Calculated volume: 13.7 Å³ per atom

a b c (Å): 4.396 4.743 5.250
angles (deg): 90.00 90.00 90.00
Positions (direct):
Tc: 0.000 0.167 0.257
Tc: 0.500 0.833 0.757
Tc: 0.000 0.167 0.743
Zn: 0.000 0.660 0.000
Tc: 0.500 0.341 0.000
Zn: 0.500 0.340 0.500
Tc: 0.500 0.833 0.243
Tc: 0.000 0.659 0.500

No. 2
VASP calculation (SCAN) on ZnTc3 at its PBEsol-relaxed geometry.

Results
- DOS at the Fermi energy: 2.880 states/eV/f.u.
- Calculated total energy: -29.6327 eV per atom
- ΔE_f: 41.1 meV/atom
- Calculated volume: 13.9 Å³ per atom

a b c (Å): 2.707 2.707 8.920
angles (deg): 81.27 81.27 60.00
Positions (direct):
Zn: 0.500 0.500 0.500
Tc: 0.000 0.000 0.000
Tc: 0.252 0.252 0.245
Tc: 0.748 0.748 0.755

No. 3
VASP calculation (SCAN) on Zn24Tc5 at its PBEsol-relaxed geometry.

Results
- DOS at the Fermi energy: 17.627 states/eV/f.u.
- Calculated total energy: -17.2230 eV per atom
- ΔE_f: 6.8 meV/atom
- Calculated volume: 13.5 Å³ per atom

a b c (Å): 7.980 7.980 7.980
angles (deg): 109.47 109.47 109.47
Positions (direct):
Zn: 0.000 0.192 0.377
Tc: 0.660 0.000 0.000
Zn: 0.815 0.623 0.623
Zn: 0.000 0.402 0.692
Zn: 0.623 0.815 0.623
Zn: 0.623 0.623 0.815
Zn: 0.402 0.000 0.692
Zn: 0.377 0.192 0.000
Zn: 0.808 0.808 0.185
Zn: 0.598 0.290 0.598
Zn: 0.402 0.692 0.000
Tc: 0.000 0.660 0.000
Zn: 0.377 0.000 0.192
Zn: 0.192 0.377 0.000
Zn: 0.710 0.308 0.308
Zn: 0.308 0.308 0.710
Zn: 0.000 0.692 0.402
Zn: 0.808 0.185 0.808
Zn: 0.185 0.808 0.808
Zn: 0.290 0.598 0.598
Tc: 0.000 0.000 0.660
Tc: 0.340 0.340 0.340
Zn: 0.692 0.402 0.000
Zn: 0.692 0.000 0.402
Zn: 0.598 0.598 0.290
Zn: 0.308 0.710 0.308
Zn: 0.192 0.000 0.377
Tc: 0.000 0.000 0.000
Zn: 0.000 0.377 0.192

No. 4
VASP calculation (SCAN) on ZnTc3 at its PBEsol-relaxed geometry.

Results
- DOS at the Fermi energy: 3.789 states/eV/f.u.
- Calculated total energy: -29.6517 eV per atom
- ΔE_f: 22.1 meV/atom
- Calculated volume: 13.9 Å³ per atom

a b c (Å): 2.730 2.730 8.622
angles (deg): 90.00 90.00 120.00
Positions (direct):
Tc: 0.000 0.000 0.000
Tc: 0.333 0.667 0.245
Zn: 0.000 0.000 0.500
Tc: 0.333 0.667 0.755

No. 5
VASP calculation (SCAN) on Zn3Tc at its PBEsol-relaxed geometry.

Results
- DOS at the Fermi energy: 1.175 states/eV/f.u.
- Calculated total energy: -18.9986 eV per atom
- ΔE_f: -97.2 meV/atom
- Calculated volume: 13.4 Å³ per atom

a b c (Å): 3.774 3.774 3.774
angles (deg): 90.00 90.00 90.00
Positions (direct):
Tc: 0.000 0.000 0.000
Zn: 0.000 0.500 0.500
Zn: 0.500 0.500 0.000
Zn: 0.500 0.000 0.500

No. 6
VASP calculation (SCAN) on Zn3Tc at its PBEsol-relaxed geometry.

Results
- DOS at the Fermi energy: 0.085 states/eV/f.u.
- Calculated total energy: -18.9809 eV per atom
- ΔE_f: -79.5 meV/atom
- Calculated volume: 13.5 Å³ per atom

a b c (Å): 3.676 3.676 8.388
angles (deg): 102.66 102.66 90.00
Positions (direct):
Tc: 0.618 0.618 0.235
Zn: 0.000 0.500 0.000
Zn: 0.500 0.000 0.000
Tc: 0.382 0.382 0.765
Zn: 0.250 0.750 0.500
Zn: 0.130 0.130 0.261
Zn: 0.870 0.870 0.739
Zn: 0.750 0.250 0.500

No. 7
VASP calculation (SCAN) on ZnTc2 at its PBEsol-relaxed geometry.

Results
- Excess energy over the best structure of this formula in the dataset: 0.0 meV/atom
- DOS at the Fermi energy: 1.126 states/eV/f.u.
- Calculated total energy: -27.9681 eV per atom
- ΔE_f: -89.7 meV/atom
- Calculated volume: 13.7 Å³ per atom

a b c (Å): 3.026 3.026 4.985
angles (deg): 107.67 107.67 90.00
Positions (direct):
Tc: 0.674 0.674 0.348
Zn: 0.000 0.000 0.000
Tc: 0.326 0.326 0.652

No. 8
VASP calculation (SCAN) on Zn8Tc at its PBEsol-relaxed geometry.

Results
- DOS at the Fermi energy: 2.870 states/eV/f.u.
- Calculated total energy: -15.8775 eV per atom
- ΔE_f: 31.5 meV/atom
- Calculated volume: 13.7 Å³ per atom

a b c (Å): 3.654 6.084 6.084
angles (deg): 84.83 72.53 72.53
Positions (direct):
Zn: 0.332 0.336 0.000
Zn: 0.000 0.334 0.666
Zn: 0.332 0.000 0.336
Zn: 0.000 0.666 0.334
Zn: 0.334 0.666 0.666
Zn: 0.666 0.334 0.334
Tc: 0.000 0.000 0.000
Zn: 0.668 0.000 0.664
Zn: 0.668 0.664 0.000

No. 9
VASP calculation (SCAN) on ZnTc2 at its PBEsol-relaxed geometry.

Results
- Excess energy over the best structure of this formula in the dataset: 120.7 meV/atom
- DOS at the Fermi energy: 1.889 states/eV/f.u.
- Calculated total energy: -27.8474 eV per atom
- ΔE_f: 31.0 meV/atom
- Calculated volume: 13.8 Å³ per atom

a b c (Å): 2.610 4.283 4.283
angles (deg): 120.00 90.00 90.00
Positions (direct):
Zn: 0.000 0.000 0.000
Tc: 0.376 0.667 0.333
Tc: 0.624 0.333 0.667

No. 10
VASP calculation (SCAN) on Zn15Tc at its PBEsol-relaxed geometry.

Results
- DOS at the Fermi energy: 4.685 states/eV/f.u.
- Calculated total energy: -14.8213 eV per atom
- ΔE_f: 40.4 meV/atom
- Calculated volume: 14.6 Å³ per atom

a b c (Å): 6.862 8.312 9.023
angles (deg): 81.92 82.13 66.88
Positions (direct):
Zn: 0.511 0.437 0.368
Zn: 0.782 0.438 0.820
Zn: 0.869 0.821 0.283
Zn: 0.175 0.695 0.461
Zn: 0.489 0.563 0.632
Tc: 0.998 0.142 0.001
Zn: 0.828 0.968 0.538
Tc: 0.002 0.858 0.999
Zn: 0.878 0.485 0.251
Zn: 0.834 0.630 0.553
Zn: 0.489 0.902 0.629
Zn: 0.862 0.162 0.283
Zn: 0.138 0.838 0.717
Zn: 0.525 0.754 0.374
Zn: 0.166 0.370 0.447
Zn: 0.239 0.885 0.196
Zn: 0.475 0.246 0.626
Zn: 0.630 0.098 0.091
Zn: 0.172 0.032 0.462
Zn: 0.370 0.902 0.909
Zn: 0.359 0.586 0.911
Zn: 0.511 0.098 0.371
Zn: 0.122 0.515 0.749
Zn: 0.664 0.760 0.090
Zn: 0.131 0.179 0.717
Zn: 0.778 0.783 0.814
Zn: 0.825 0.305 0.539
Zn: 0.761 0.115 0.804
Zn: 0.641 0.414 0.089
Zn: 0.218 0.562 0.180
Zn: 0.336 0.240 0.910
Zn: 0.222 0.217 0.186

No. 11
VASP calculation (SCAN) on Zn3Tc at its PBEsol-relaxed geometry.

Results
- DOS at the Fermi energy: 1.487 states/eV/f.u.
- Calculated total energy: -18.8890 eV per atom
- ΔE_f: 12.4 meV/atom
- Calculated volume: 13.7 Å³ per atom

a b c (Å): 2.586 5.017 5.017
angles (deg): 117.11 99.89 99.89
Positions (direct):
Tc: 0.000 0.000 0.000
Zn: 0.500 0.500 0.000
Zn: 0.500 0.000 0.500
Zn: 0.000 0.500 0.500

No. 12
VASP calculation (SCAN) on Zn3Tc at its PBEsol-relaxed geometry.

Results
- DOS at the Fermi energy: 1.657 states/eV/f.u.
- Calculated total energy: -18.8497 eV per atom
- ΔE_f: 51.7 meV/atom
- Calculated volume: 13.7 Å³ per atom

a b c (Å): 2.660 4.657 4.711
angles (deg): 101.68 106.40 90.00
Positions (direct):
Zn: 0.500 0.500 0.000
Zn: 0.751 0.244 0.502
Tc: 0.000 0.000 0.000
Zn: 0.249 0.756 0.498

No. 13
VASP calculation (SCAN) on Zn3Tc at its PBEsol-relaxed geometry.

Results
- DOS at the Fermi energy: 0.727 states/eV/f.u.
- Calculated total energy: -18.8985 eV per atom
- ΔE_f: 2.9 meV/atom
- Calculated volume: 13.5 Å³ per atom

a b c (Å): 4.385 5.325 5.325
angles (deg): 120.00 90.00 90.00
Positions (direct):
Zn: 0.250 0.832 0.168
Tc: 0.250 0.333 0.667
Zn: 0.750 0.168 0.337
Zn: 0.250 0.832 0.663
Zn: 0.250 0.337 0.168
Zn: 0.750 0.663 0.832
Tc: 0.750 0.667 0.333
Zn: 0.750 0.168 0.832

No. 14
VASP calculation (SCAN) on Zn7Tc at its PBEsol-relaxed geometry.

Results
- DOS at the Fermi energy: 1.117 states/eV/f.u.
- Calculated total energy: -16.2636 eV per atom
- ΔE_f: -55.2 meV/atom
- Calculated volume: 13.7 Å³ per atom

a b c (Å): 5.375 5.375 5.375
angles (deg): 60.00 60.00 60.00
Positions (direct):
Zn: 0.500 0.500 0.500
Zn: 0.500 0.000 0.500
Zn: 0.500 0.500 0.000
Zn: 0.000 0.500 0.500
Zn: 0.000 0.000 0.500
Zn: 0.000 0.500 0.000
Tc: 0.000 0.000 0.000
Zn: 0.500 0.000 0.000

No. 15
VASP calculation (SCAN) on Zn3Tc at its PBEsol-relaxed geometry.

Results
- DOS at the Fermi energy: 1.444 states/eV/f.u.
- Calculated total energy: -18.9272 eV per atom
- ΔE_f: -25.8 meV/atom
- Calculated volume: 13.6 Å³ per atom

a b c (Å): 2.637 4.729 5.145
angles (deg): 117.36 104.85 90.00
Positions (direct):
Zn: 0.252 0.926 0.503
Zn: 0.748 0.423 0.497
Zn: 0.500 0.496 0.000
Tc: 0.000 0.989 0.000

No. 16
VASP calculation (SCAN) on Zr3ZnTc at its PBEsol-relaxed geometry.

Results
- DOS at the Fermi energy: 6.781 states/eV/f.u.
- Calculated total energy: -27.1719 eV per atom
- ΔE_f: 962.3 meV/atom
- Calculated volume: 22.0 Å³ per atom

a b c (Å): 4.790 4.790 4.790
angles (deg): 90.00 90.00 90.00
Positions (direct):
Zr: 0.000 0.000 0.500
Zn: 0.000 0.000 0.000
Zr: 0.000 0.500 0.000
Tc: 0.500 0.500 0.500
Zr: 0.500 0.000 0.000

No. 17
VASP calculation (SCAN) on ZrZnTc2 at its PBEsol-relaxed geometry.

Results
- DOS at the Fermi energy: 3.135 states/eV/f.u.
- Calculated total energy: -28.5011 eV per atom
- ΔE_f: 82.3 meV/atom
- Calculated volume: 15.7 Å³ per atom

a b c (Å): 2.791 2.791 9.429
angles (deg): 81.49 81.49 60.00
Positions (direct):
Tc: 0.009 0.009 0.973
Zn: 0.493 0.493 0.520
Tc: 0.748 0.748 0.757
Zr: 0.250 0.250 0.250

No. 18
VASP calculation (SCAN) on ZrZnTc2 at its PBEsol-relaxed geometry.

Results
- DOS at the Fermi energy: 2.031 states/eV/f.u.
- Calculated total energy: -28.6776 eV per atom
- ΔE_f: -94.2 meV/atom
- Calculated volume: 15.5 Å³ per atom

a b c (Å): 2.959 3.779 5.551
angles (deg): 90.00 90.00 90.00
Positions (direct):
Zn: 0.000 0.000 0.487
Tc: 0.000 0.000 0.020
Zr: 0.500 0.500 0.755
Tc: 0.500 0.500 0.238

No. 19
VASP calculation (SCAN) on ZrZnTc2 at its PBEsol-relaxed geometry.

Results
- DOS at the Fermi energy: 3.422 states/eV/f.u.
- Calculated total energy: -28.5974 eV per atom
- ΔE_f: -13.9 meV/atom
- Calculated volume: 15.6 Å³ per atom

a b c (Å): 3.227 4.408 5.159
angles (deg): 115.29 108.23 90.00
Positions (direct):
Tc: 0.253 0.253 0.506
Zn: 0.500 0.000 0.000
Tc: 0.747 0.747 0.494
Zr: 0.000 0.500 0.000

No. 20
VASP calculation (SCAN) on ZrZnTc2 at its PBEsol-relaxed geometry.

Results
- DOS at the Fermi energy: 3.329 states/eV/f.u.
- Calculated total energy: -28.6926 eV per atom
- ΔE_f: -109.2 meV/atom
- Calculated volume: 15.3 Å³ per atom

a b c (Å): 3.925 3.925 3.965
angles (deg): 90.00 90.00 90.00
Positions (direct):
Zn: 0.500 0.500 0.500
Tc: 0.500 0.000 0.000
Tc: 0.000 0.500 0.000
Zr: 0.000 0.000 0.500